Material: LaSb2Cl
Method: DFT, PBE
State: optimized geometry

Results
Uncorrected energy (eV/cell): -17.72
Magnetization (μB/cell): 0.00
Relative energy among the computed polymorphs (eV per atom): 0.445
Uncorrected formation energy (eV/atom): -0.676

extended XYZ file:
```
4
Lattice="0.000 3.844 3.844 3.844 0.000 3.844 3.844 3.844 0.000" Properties=species:S:1:pos:R:3 pbc="T T T"
La 0.000 0.000 0.000
Sb 3.844 3.844 3.844
Sb 5.766 5.766 5.766
Cl 1.922 1.922 1.922
```